## MgTaMoF2 (GGA+U)

Data for a relaxed structure of MgTaMoF2.

space-group type: P4/mmm (123)
calculated total energy: -5.53 eV per atom

a = 3.7640 Å, b = 7.2307 Å, c = 3.7640 Å
α = 90.00°, β = 90.00°, γ = 90.00°
Last column: nearest neighbours and their distance in Å.
Fractional coordinates of all 5 atoms:
Ta 0.5000 0.5000 0.5000  4 Mo 2.66
F 0.0000 0.0000 0.5000  2 Mg 1.88
F 0.5000 0.0000 0.0000  2 Mg 1.88
Mg 0.0000 0.0000 0.0000  4 F 1.88
Mo 0.0000 0.5000 0.0000  4 Ta 2.66